First-principles (PBE with a Hubbard U) data for a relaxed CaMnF2 crystal, as listed in the Alexandria database.

Output
E_tot	-19.922	eV for the cell shown
excess energy over the best structure of this formula in the dataset	703	meV per atom
mass density	3.2	g cm⁻³

Cell lengths 4.5897, 4.5897, 4.5897 Å; angles 60.00, 60.00, 60.00 degrees
Site moments in Bohr magnetons follow the coordinates.
Fractional coordinates of all 4 atoms:
Mn1 0.5000 0.5000 0.5000  4.70
F1 0.7500 0.7500 0.7500  0.04
F2 0.2500 0.2500 0.2500  0.04
Ca1 0.0000 0.0000 0.0000  -0.04